Model w:
A plane-wave DFT calculation with PBE+U was carried out for crystalline Mg14ZnFeO16 at its relaxed geometry.

Values from the calculation:
Its space-group type is P4/mmm (123). For the calculated density, the calculation gives 3.83 g cm⁻³.

a = 8.542 Å, b = 8.542 Å, c = 4.264 Å
α = 90.00°, β = 90.00°, γ = 90.00°
Site moments in Bohr magnetons follow the coordinates.
Fractional positions:
Mg 0.000 0.500 0.000  0.00
Mg 0.250 0.000 0.500  0.00
O 0.500 0.754 0.000  0.03
O 0.250 0.750 0.500  0.00
O 0.500 0.000 0.500  0.00
O 0.747 0.000 0.000  0.00
Mg 0.750 0.500 0.500  0.00
Mg 0.751 0.751 0.000  0.00
O 0.750 0.250 0.500  0.00
O 0.750 0.750 0.500  0.00
O 0.500 0.500 0.500  0.08
Mg 0.000 0.750 0.500  0.00
O 0.000 0.253 0.000  0.00
Mg 0.500 0.750 0.500  0.00
O 0.253 0.000 0.000  0.00
O 0.000 0.000 0.500  0.00
Mg 0.500 0.250 0.500  0.00
O 0.500 0.246 0.000  0.03
O 0.250 0.250 0.500  0.00
Mg 0.250 0.500 0.500  0.00
Mg 0.000 0.250 0.500  0.00
Mg 0.249 0.249 0.000  0.00
Mg 0.751 0.249 0.000  0.00
Mg 0.750 0.000 0.500  0.00
O 0.000 0.747 0.000  0.00
Zn 0.000 0.000 0.000  0.00
O 0.246 0.500 0.000  0.03
O 0.000 0.500 0.500  0.00
Fe 0.500 0.500 0.000  3.77
O 0.754 0.500 0.000  0.03
Mg 0.500 0.000 0.000  0.00
Mg 0.249 0.751 0.000  0.00

***

Model x:
A plane-wave DFT calculation with PBE+U was carried out for crystalline Mg14ZnFeO16 at its relaxed geometry.

Values from the calculation:
Its space-group type is Pmmm (47). For the calculated density, the calculation gives 3.82 g cm⁻³.

a = 4.279 Å, b = 8.518 Å, c = 8.555 Å
α = 90.00°, β = 90.00°, γ = 90.00°
Site moments in Bohr magnetons follow the coordinates.
Fractional positions:
Zn 0.000 0.000 0.000  0.01
Mg 0.000 0.750 0.251  0.00
Mg 0.500 0.000 0.750  0.00
Fe 0.000 0.500 0.000  3.75
O 0.500 0.750 0.249  0.00
O 0.000 0.000 0.747  0.00
Mg 0.500 0.000 0.250  0.00
Mg 0.500 0.500 0.250  0.00
Mg 0.000 0.750 0.749  0.00
Mg 0.500 0.750 0.500  0.00
O 0.000 0.500 0.743  0.03
O 0.500 0.750 0.751  0.00
O 0.000 0.252 0.000  0.03
O 0.000 0.249 0.500  0.00
O 0.000 0.000 0.253  0.00
Mg 0.500 0.500 0.750  0.00
O 0.000 0.500 0.257  0.03
Mg 0.500 0.250 0.000  0.00
Mg 0.000 0.000 0.500  0.00
Mg 0.000 0.250 0.749  0.00
Mg 0.000 0.250 0.251  0.00
O 0.500 0.250 0.751  0.00
Mg 0.500 0.750 0.000  0.00
Mg 0.500 0.250 0.500  0.00
O 0.000 0.748 0.000  0.03
O 0.500 0.000 0.500  0.00
O 0.500 0.500 0.500  0.00
O 0.500 0.000 0.000  0.01
O 0.500 0.500 0.000  0.05
O 0.000 0.751 0.500  0.00
O 0.500 0.250 0.249  0.00
Mg 0.000 0.500 0.500  0.00

***

Order from most stable to least stable according to the calculation: model x, model w